# 1
LiRePb2, optimized geometry, DFT PBE; SG = F-43m; volume = 22.23 A^3/atom; DFT total energy = -17.97 eV per formula unit; DOS(E_F) = 4.2 states/eV per cell
1.0
5.0099 0.0000 0.0000
2.5049 4.3387 0.0000
2.5049 1.4462 4.0905
Re Pb Li
1 2 1
Direct
0.7500 0.7500 0.7500
0.0000 0.0000 0.0000
0.2500 0.2500 0.2500
0.5000 0.5000 0.5000

# 2
DyTl2Pd8, optimized geometry, DFT PBE; SG = C2/m; volume = 18.45 A^3/atom; DFT total energy = -54.08 eV per formula unit; DOS(E_F) = 4.6 states/eV per cell
1.0
4.9886 -0.6170 -0.9261
-1.7135 7.4019 -0.7588
-1.7135 -3.5511 6.5386
Pd Dy Tl
8 1 2
Direct
0.5000 0.7852 0.2148
0.3063 0.5666 0.5666
0.1355 0.0991 0.3287
0.1355 0.3287 0.0991
0.8645 0.9009 0.6713
0.8645 0.6713 0.9009
0.6937 0.4334 0.4334
0.5000 0.2148 0.7852
0.5000 0.0000 0.0000
0.0000 0.3085 0.6915
0.0000 0.6915 0.3085

# 3
ZrTcNi3, optimized geometry, DFT PBE; SG = Pm-3m; volume = 17.44 A^3/atom; DFT total energy = -28.64 eV per formula unit; DOS(E_F) = 3.7 states/eV per cell
1.0
-2.9600 -0.6478 3.2377
-2.5701 -2.2779 -2.8053
2.0730 -3.7490 1.1451
Ni Tc Zr
3 1 1
Direct
0.0000 0.0000 0.5000
0.0000 0.5000 0.0000
0.5000 0.0000 0.0000
0.5000 0.5000 0.5000
0.0000 0.0000 0.0000

# 4
NiAs2W, optimized geometry, DFT PBE; SG = Immm; volume = 14.81 A^3/atom; DFT total energy = -27.03 eV per formula unit; DOS(E_F) = 2.1 states/eV per cell
1.0
-0.4647 0.8514 -4.6404
0.7098 -4.1611 -2.1576
-2.9697 1.8204 3.2157
W Ni As
1 1 2
Direct
0.2500 0.7500 0.5000
0.7500 0.2500 0.5000
0.9687 0.9687 0.0000
0.5313 0.5313 0.0000

# 5
SmNiCl6, optimized geometry, DFT PBE; uncorrected formation energy = -119 kJ per mole of atoms; SG = P-1; volume = 25.02 A^3/atom; DOS(E_F) = 1.5 states/eV per cell
1.0
-5.7028 -0.7351 3.1605
-0.3199 -2.7884 5.5458
-1.4489 3.8219 5.7447
Cl Ni Sm
6 1 1
Direct
0.6248 0.2162 0.2279
0.7733 0.0794 0.7618
0.3752 0.7838 0.7721
0.0592 0.3881 0.7698
0.2267 0.9206 0.2382
0.9408 0.6119 0.2302
0.0000 0.0000 0.0000
0.5000 0.5000 0.5000

# 6
AlOsSeN2, optimized geometry, DFT PBE; uncorrected formation energy = 130 kJ per mole of atoms; SG = P4/mmm; volume = 15.38 A^3/atom; DOS(E_F) = 4.5 states/eV per cell
1.0
-2.1033 0.1263 -2.9743
-1.0047 -3.4582 0.5636
-4.4510 1.8188 3.2248
Os N Al Se
1 2 1 1
Direct
0.5000 0.5000 0.5000
0.5000 0.0000 0.0000
0.0000 0.5000 0.0000
0.0000 0.0000 0.0000
0.0000 0.0000 0.5000

# 7
TlCu7S4, optimized geometry, DFT PBE; uncorrected formation energy = -16 kJ per mole of atoms; SG = P1; volume = 16.79 A^3/atom
1.0
3.8967 0.0602 -0.0222
-1.8104 7.2105 -0.0985
-1.9767 -0.1452 7.1558
S Cu Tl
4 7 1
Direct
0.5050 0.1614 0.3115
0.8718 0.3254 0.8441
0.6480 0.6952 0.1608
0.0558 0.8232 0.6945
0.8611 0.1581 0.1106
0.2131 0.8760 0.1687
0.4983 0.4317 0.9849
0.6395 0.8220 0.8761
0.8660 0.9459 0.4157
0.1807 0.0894 0.8623
0.5449 0.0903 0.6214
0.2418 0.5055 0.4774

# 8
TlOsRh2, optimized geometry, DFT PBE; SG = I-4m2; volume = 15.98 A^3/atom; DFT total energy = -26.42 eV per formula unit; DOS(E_F) = 2.8 states/eV per cell
1.0
-2.0133 2.0133 3.9427
2.0133 -2.0133 3.9427
2.0133 2.0133 -3.9427
Rh Tl Os
2 1 1
Direct
0.0000 0.0000 0.0000
0.2500 0.7500 0.5000
0.5000 0.5000 0.0000
0.7500 0.2500 0.5000

# 9
Li6Y2Pd3, optimized geometry, DFT PBE; SG = P-62m; volume = 18.50 A^3/atom; DFT total energy = -43.90 eV per formula unit; DOS(E_F) = 4.1 states/eV per cell
1.0
3.9349 0.0000 0.0000
0.0000 6.6933 -3.8644
0.0000 0.0000 7.7287
Li Pd Y
6 3 2
Direct
0.0000 0.2108 0.2108
0.5000 0.0000 0.2538
0.5000 0.7462 0.7462
0.0000 0.7892 0.0000
0.5000 0.2538 0.0000
0.0000 0.0000 0.7892
0.5000 0.4173 0.4173
0.5000 0.0000 0.5827
0.5000 0.5827 0.0000
0.0000 0.3333 0.6667
0.0000 0.6667 0.3333

# 10
SnB2ClO, optimized geometry, DFT PBE; uncorrected formation energy = 169 kJ per mole of atoms; SG = P4/mmm; volume = 21.43 A^3/atom; DOS(E_F) = 3.3 states/eV per cell
1.0
4.5693 0.0000 0.0000
0.0000 5.1331 0.0000
0.0000 0.0000 4.5693
Sn B O Cl
1 2 1 1
Direct
0.0000 0.0000 0.0000
0.0000 0.0000 0.5000
0.5000 0.0000 0.0000
0.5000 0.5000 0.5000
0.0000 0.5000 0.0000

# 11
Li3B8C8, optimized geometry, DFT PBE; SG = C2/m; volume = 8.48 A^3/atom; DFT total energy = -132.17 eV per formula unit; DOS(E_F) = 3.2 states/eV per cell
1.0
1.3788 -11.3459 -5.2331
6.6296 -10.1977 -4.2391
-5.5084 9.5490 6.6627
B Li C
8 3 8
Direct
0.2983 0.0336 0.2647
0.2153 0.8265 0.3888
0.2017 0.4664 0.7353
0.2847 0.6735 0.6112
0.8039 0.5347 0.2693
0.7037 0.3181 0.3856
0.7963 0.1819 0.6144
0.6961 0.9653 0.7307
0.9379 0.8875 0.0503
0.5621 0.6125 0.9497
0.2500 0.2500 0.0000
0.8650 0.4652 0.3998
0.1308 0.5329 0.5979
0.4483 0.1728 0.2755
0.9598 0.6814 0.2784
0.0517 0.3272 0.7245
0.3692 0.9671 0.4021
0.6350 0.0348 0.6002
0.5402 0.8186 0.7216

# 12
BaPrAs2, optimized geometry, DFT PBE; SG = R3m; volume = 32.93 A^3/atom; DFT total energy = -20.28 eV per formula unit; DOS(E_F) = 3.4 states/eV per cell
1.0
-1.5550 3.6259 -1.8982
-0.0363 0.3428 -4.3646
-7.7832 -1.8879 -2.2795
Ba As Pr
1 2 1
Direct
0.4970 0.4970 0.5091
0.2608 0.2608 0.2175
0.0731 0.0731 0.7806
0.6691 0.6691 0.9928

- What is the volume in the eleventh record?
  8.48 A^3/atom

- Which value of volume does entry 10 give?
  21.43 A^3/atom

- Number 3 is which compound?
  ZrTcNi3